A relaxed Pu4RuRh3 crystal. Source: Alexandria via LeMat-Bulk, functional PBE.

Calculated values
formation enthalpy at 0 K = -356 meV per atom
DOS(E_F) = 29.8 states/eV/f.u.
raw total energy = -11.438 eV/atom

Cell lengths 6.824, 6.824, 6.824 Å; angles 90.00, 90.00, 90.00 degrees
Atoms (fractional coordinates):
1 Pu 0.250 0.250 0.250
2 Pu 0.250 0.250 0.750
3 Pu 0.250 0.750 0.250
4 Pu 0.250 0.750 0.750
5 Pu 0.750 0.250 0.250
6 Pu 0.750 0.250 0.750
7 Pu 0.750 0.750 0.250
8 Pu 0.750 0.750 0.750
9 Ru 0.000 0.000 0.000
10 Ru 0.500 0.500 0.500
11 Rh 0.000 0.000 0.500
12 Rh 0.000 0.500 0.000
13 Rh 0.000 0.500 0.500
14 Rh 0.500 0.000 0.000
15 Rh 0.500 0.000 0.500
16 Rh 0.500 0.500 0.000